Entry 1:
# Tb2Y3Hg4, relaxed, DFT PBE
data_Tb2Y3Hg4
_chemical_formula_sum 'Tb4 Y6 Hg8'
_symmetry_space_group_name_H-M 'P 1'
_symmetry_Int_Tables_number 1
_symmetry_space_group_name_Hall 'P 1'
_cell_length_a 9.6845
_cell_length_b 9.6845
_cell_length_c 7.9990
_cell_angle_alpha 90.00
_cell_angle_beta 90.00
_cell_angle_gamma 137.71
loop_
_atom_site_label
_atom_site_fract_x
_atom_site_fract_y
_atom_site_fract_z
Tb1 0.0948 0.9052 0.9141
Tb2 0.4052 0.5948 0.4141
Tb3 0.5948 0.4052 0.5859
Tb4 0.9052 0.0948 0.0859
Y1 0.0000 0.0000 0.5000
Y2 0.0112 0.4888 0.7500
Y3 0.4888 0.0112 0.2500
Y4 0.5000 0.5000 0.0000
Y5 0.5112 0.9888 0.7500
Y6 0.9888 0.5112 0.2500
Hg1 0.1655 0.8345 0.5333
Hg2 0.1826 0.3174 0.7500
Hg3 0.3174 0.1826 0.2500
Hg4 0.3345 0.6655 0.0333
Hg5 0.6655 0.3345 0.9667
Hg6 0.6826 0.8174 0.7500
Hg7 0.8174 0.6826 0.2500
Hg8 0.8345 0.1655 0.4667
# - SG: Cmce (64)
# - Formation energy: -0.336 eV/atom

Entry 2:
# TiNbCuRh, relaxed, DFT PBE
data_TiNbCuRh
_chemical_formula_sum 'Ti1 Nb1 Cu1 Rh1'
_symmetry_space_group_name_H-M 'P 1'
_symmetry_Int_Tables_number 1
_symmetry_space_group_name_Hall 'P 1'
_cell_length_a 4.4418
_cell_length_b 4.4418
_cell_length_c 4.4418
_cell_angle_alpha 60.00
_cell_angle_beta 60.00
_cell_angle_gamma 60.00
loop_
_atom_site_label
_atom_site_fract_x
_atom_site_fract_y
_atom_site_fract_z
Ti1 0.0000 0.0000 0.0000
Nb1 0.5000 0.5000 0.5000
Cu1 0.2500 0.2500 0.2500
Rh1 0.7500 0.7500 0.7500
# - SG: F-43m (216)
# - Formation energy: -0.186 eV/atom

Entry 3:
# AcVP, relaxed, DFT PBE
data_AcVP
_chemical_formula_sum 'Ac1 V1 P1'
_symmetry_space_group_name_H-M 'P 1'
_symmetry_Int_Tables_number 1
_symmetry_space_group_name_Hall 'P 1'
_cell_length_a 6.0173
_cell_length_b 6.0173
_cell_length_c 6.0173
_cell_angle_alpha 147.06
_cell_angle_beta 147.06
_cell_angle_gamma 47.27
loop_
_atom_site_label
_atom_site_fract_x
_atom_site_fract_y
_atom_site_fract_z
Ac1 0.0000 0.0000 0.0000
V1 0.2837 0.2837 0.0000
P1 0.7148 0.7148 0.0000
# - SG: I4mm (107)
# - Polymorph energy (0 for the lowest one): 206.4 meV per atom
# - Formation energy: -0.273 eV/atom

Entry 4:
# LiYZr, relaxed, DFT PBE
data_LiYZr
_chemical_formula_sum 'Li4 Y4 Zr4'
_symmetry_space_group_name_H-M 'P 1'
_symmetry_Int_Tables_number 1
_symmetry_space_group_name_Hall 'P 1'
_cell_length_a 6.6345
_cell_length_b 4.8109
_cell_length_c 9.0216
_cell_angle_alpha 90.00
_cell_angle_beta 90.00
_cell_angle_gamma 90.00
loop_
_atom_site_label
_atom_site_fract_x
_atom_site_fract_y
_atom_site_fract_z
Li1 0.2074 0.2500 0.1082
Li2 0.2926 0.7500 0.6082
Li3 0.7074 0.2500 0.3918
Li4 0.7926 0.7500 0.8918
Y1 0.0368 0.2500 0.8012
Y2 0.4632 0.7500 0.3012
Y3 0.5368 0.2500 0.6988
Y4 0.9632 0.7500 0.1988
Zr1 0.1243 0.2500 0.4373
Zr2 0.3757 0.7500 0.9373
Zr3 0.6243 0.2500 0.0627
Zr4 0.8757 0.7500 0.5627
# - SG: Pnma (62)
# - Polymorph energy (0 for the lowest one): 188.1 meV per atom
# - Formation energy: 0.255 eV/atom

Entry 5:
# HoPaGe, relaxed, DFT PBE
data_HoPaGe
_chemical_formula_sum 'Ho2 Pa2 Ge2'
_symmetry_space_group_name_H-M 'P 1'
_symmetry_Int_Tables_number 1
_symmetry_space_group_name_Hall 'P 1'
_cell_length_a 8.6140
_cell_length_b 8.6140
_cell_length_c 5.5630
_cell_angle_alpha 90.00
_cell_angle_beta 90.00
_cell_angle_gamma 158.67
loop_
_atom_site_label
_atom_site_fract_x
_atom_site_fract_y
_atom_site_fract_z
Ho1 0.1719 0.8281 0.7500
Ho2 0.8281 0.1719 0.2500
Pa1 0.5000 0.5000 0.0000
Pa2 0.5000 0.5000 0.5000
Ge1 0.3436 0.6564 0.7500
Ge2 0.6564 0.3436 0.2500
# - SG: Cmcm (63)
# - Polymorph energy (0 for the lowest one): 0.0 meV per atom
# - Formation energy: -0.131 eV/atom

Entry 6:
# NaMg2Pb2, relaxed, DFT PBE
data_NaMg2Pb2
_chemical_formula_sum 'Na1 Mg2 Pb2'
_symmetry_space_group_name_H-M 'P 1'
_symmetry_Int_Tables_number 1
_symmetry_space_group_name_Hall 'P 1'
_cell_length_a 7.3363
_cell_length_b 7.3363
_cell_length_c 7.3363
_cell_angle_alpha 141.77
_cell_angle_beta 141.77
_cell_angle_gamma 55.18
loop_
_atom_site_label
_atom_site_fract_x
_atom_site_fract_y
_atom_site_fract_z
Na1 0.0000 0.0000 0.0000
Mg1 0.2500 0.7500 0.5000
Mg2 0.7500 0.2500 0.5000
Pb1 0.3854 0.3854 0.0000
Pb2 0.6146 0.6146 0.0000
# - SG: I4/mmm (139)
# - Polymorph energy (0 for the lowest one): 22.8 meV per atom
# - Formation energy: -0.058 eV/atom

Entry 7:
# Ce3Ta2As2N4, relaxed, DFT PBE
data_Ce3Ta2As2N4
_chemical_formula_sum 'Ce3 Ta2 As2 N4'
_symmetry_space_group_name_H-M 'P 1'
_symmetry_Int_Tables_number 1
_symmetry_space_group_name_Hall 'P 1'
_cell_length_a 11.2285
_cell_length_b 11.2285
_cell_length_c 11.2285
_cell_angle_alpha 158.83
_cell_angle_beta 158.83
_cell_angle_gamma 30.11
loop_
_atom_site_label
_atom_site_fract_x
_atom_site_fract_y
_atom_site_fract_z
Ce1 0.0000 0.0000 0.0000
Ce2 0.1597 0.1597 0.0000
Ce3 0.8403 0.8403 0.0000
Ta1 0.4184 0.4184 0.0000
Ta2 0.5816 0.5816 0.0000
As1 0.2987 0.2987 0.0000
As2 0.7013 0.7013 0.0000
N1 0.0752 0.5752 0.5000
N2 0.4248 0.9248 0.5000
N3 0.5752 0.0752 0.5000
N4 0.9248 0.4248 0.5000
# - SG: I4/mmm (139)
# - Raw formation energy: -1.292 eV per atom

Entry 8:
# P5C, relaxed, DFT PBE
data_P5C
_chemical_formula_sum 'P5 C1'
_symmetry_space_group_name_H-M 'P 1'
_symmetry_Int_Tables_number 1
_symmetry_space_group_name_Hall 'P 1'
_cell_length_a 4.9153
_cell_length_b 4.9153
_cell_length_c 4.9153
_cell_angle_alpha 60.00
_cell_angle_beta 60.00
_cell_angle_gamma 60.00
loop_
_atom_site_label
_atom_site_fract_x
_atom_site_fract_y
_atom_site_fract_z
P1 0.0000 0.0000 0.0000
P2 0.3768 0.3768 0.3768
P3 0.3768 0.3768 0.8695
P4 0.3768 0.8695 0.3768
P5 0.8695 0.3768 0.3768
C1 0.7500 0.7500 0.7500
# - SG: F-43m (216)
# - Polymorph energy (0 for the lowest one): 1337.8 meV per atom
# - Formation energy: 1.672 eV/atom